4
Lattice="4.208 0.000 0.000 2.104 3.644 0.000 2.104 1.215 3.436" Properties=species:S:1:pos:R:3 comment="AlGeRu2 | Alexandria via LeMat-Bulk | SCAN | single point on PBEsol structure" space_group="Fm-3m (225)" mass_density_g_cm3=9.51 delta_e_f_ev_per_atom=-0.628 volume_a3_per_atom=13.170 pbc="T T T"
Ru 2.104 1.215 0.859
Ru 6.312 3.644 2.577
Ge 4.208 2.429 1.718
Al 0.000 0.000 0.000